(1)
An optimized crystal structure of K3PmF8. Source: the Alexandria database, functional GGA-PBE.

Lattice parameters (Å, degrees): 6.067 6.067 7.545 113.71 113.71 90.00
Each line ends with the local moment (μB).
Fractional positions:
K  0.500  0.500  0.000  0.00
F  0.110  0.110  0.776  0.23
F  0.890  0.334  0.224  0.23
F  0.334  0.890  0.224  0.23
F  0.890  0.890  0.224  0.23
K  0.250  0.750  0.500  0.00
F  0.666  0.666  0.776  0.23
Pm  0.000  0.000  0.000  -0.02
K  0.750  0.250  0.500  0.00
F  0.334  0.334  0.224  0.23
F  0.110  0.666  0.776  0.23
F  0.666  0.110  0.776  0.23

## Properties
The uncorrected formation energy is -2.7471 eV per atom.

(2)
An optimized crystal structure of HfZr2Al. Source: the Alexandria database, functional GGA-PBE.

Lattice parameters (Å, degrees): 4.355 4.375 4.375 90.00 90.00 90.00
Fractional positions:
Hf  0.500  0.000  0.000
Al  0.500  0.500  0.500
Zr  0.000  0.000  0.500
Zr  0.000  0.500  0.000

## Properties
As for the energy relative to the elements: -0.2720 eV/atom.

(3)
An optimized crystal structure of KGa8Cu6. Source: the Alexandria database, functional GGA-PBE.

Lattice parameters (Å, degrees): 6.640 6.640 6.640 71.55 71.55 71.55
Fractional positions:
Cu  0.565  0.169  0.361
K  0.000  0.000  0.000
Ga  0.148  0.782  0.467
Cu  0.361  0.565  0.169
Ga  0.467  0.148  0.782
Ga  0.852  0.218  0.533
Cu  0.169  0.361  0.565
Ga  0.782  0.467  0.148
Ga  0.218  0.533  0.852
Ga  0.533  0.852  0.218
Ga  0.773  0.773  0.773
Ga  0.227  0.227  0.227
Cu  0.435  0.831  0.639
Cu  0.639  0.435  0.831
Cu  0.831  0.639  0.435

## Properties
As for the energy relative to the elements: 0.0423 eV/atom.

Number 1: volume 228.4 Å³/cell, D(E_F) 1.27 states/eV per atom. Number 2: volume 83.3 Å³/cell, D(E_F) 0.86 states/eV per atom. Number 3: volume 255.8 Å³/cell, D(E_F) 0.40 states/eV per atom.